Crystalline Y3Ho2Tm5 at its relaxed geometry. Source: the Alexandria database, functional GGA-PBE.

Summary:
Its polymorph energy (0 for the lowest one) is 0.000 eV/atom. The calculation puts the spin magnetization at 0.0 μB/f.u. For the energy, the calculation gives -0.3592 Ry per atom. The formation energy comes out at 0.20 eV/atom.

abc: 9.416 9.416 9.416
angles: 108.32 108.32 111.78
Element x y z (fractional)
1 Y 0.029 0.270 0.046
2 Y 0.233 0.767 0.750
3 Y 0.270 0.029 0.546
4 Y 0.730 0.971 0.454
5 Y 0.767 0.233 0.250
6 Y 0.971 0.730 0.954
7 Ho 0.233 0.471 0.451
8 Ho 0.471 0.233 0.951
9 Ho 0.529 0.767 0.049
10 Ho 0.767 0.529 0.549
11 Tm 0.030 0.970 0.750
12 Tm 0.137 0.359 0.747
13 Tm 0.270 0.730 0.250
14 Tm 0.359 0.137 0.247
15 Tm 0.473 0.527 0.250
16 Tm 0.527 0.473 0.750
17 Tm 0.641 0.863 0.753
18 Tm 0.730 0.270 0.750
19 Tm 0.863 0.641 0.253
20 Tm 0.970 0.030 0.250

---

Crystalline YHo4Tm at its relaxed geometry. Source: the Alexandria database, functional GGA-PBE.

Summary:
Its polymorph energy (0 for the lowest one) is 0.121 eV/atom. The calculation puts the spin magnetization at 0.0 μB/f.u. For the energy, the calculation gives -0.3478 Ry per atom. The formation energy comes out at 0.14 eV/atom.

abc: 8.535 8.535 6.400
angles: 100.64 100.64 118.56
Element x y z (fractional)
1 Y 0.085 0.915 0.750
2 Y 0.915 0.085 0.250
3 Ho 0.076 0.332 0.880
4 Ho 0.211 0.604 0.462
5 Ho 0.332 0.076 0.380
6 Ho 0.396 0.789 0.038
7 Ho 0.604 0.211 0.962
8 Ho 0.668 0.924 0.620
9 Ho 0.789 0.396 0.538
10 Ho 0.924 0.668 0.120
11 Tm 0.498 0.502 0.750
12 Tm 0.502 0.498 0.250

---

Crystalline Y8HoTm6 at its relaxed geometry. Source: the Alexandria database, functional GGA-PBE.

Summary:
Its polymorph energy (0 for the lowest one) is 0.000 eV/atom. The calculation puts the spin magnetization at 0.0 μB/f.u. For the energy, the calculation gives -0.3934 Ry per atom. The formation energy comes out at 0.19 eV/atom.

abc: 8.109 8.109 8.109
angles: 73.25 73.25 73.25
Element x y z (fractional)
1 Y 0.089 0.089 0.089
2 Y 0.144 0.271 0.569
3 Y 0.271 0.569 0.144
4 Y 0.431 0.856 0.729
5 Y 0.569 0.144 0.271
6 Y 0.729 0.431 0.856
7 Y 0.856 0.729 0.431
8 Y 0.911 0.911 0.911
9 Ho 0.500 0.500 0.500
10 Tm 0.114 0.562 0.788
11 Tm 0.212 0.886 0.438
12 Tm 0.438 0.212 0.886
13 Tm 0.562 0.788 0.114
14 Tm 0.788 0.114 0.562
15 Tm 0.886 0.438 0.212

---

Crystalline Y5Ho2Tm5 at its relaxed geometry. Source: the Alexandria database, functional GGA-PBE.

Summary:
The calculation puts the spin magnetization at 0.0 μB/f.u. For the energy, the calculation gives -0.3857 Ry per atom. The formation energy comes out at 0.07 eV/atom.

abc: 8.923 8.923 9.616
angles: 122.60 122.60 36.35
Element x y z (fractional)
1 Y 0.000 0.000 0.000
2 Y 0.124 0.124 0.459
3 Y 0.250 0.250 0.249
4 Y 0.750 0.750 0.751
5 Y 0.876 0.876 0.541
6 Ho 0.125 0.125 0.792
7 Ho 0.875 0.875 0.208
8 Tm 0.376 0.376 0.043
9 Tm 0.376 0.376 0.710
10 Tm 0.500 0.500 0.500
11 Tm 0.624 0.624 0.290
12 Tm 0.624 0.624 0.957

---

Crystalline YHo6Tm8 at its relaxed geometry. Source: the Alexandria database, functional GGA-PBE.

Summary:
Its polymorph energy (0 for the lowest one) is 0.108 eV/atom. The calculation puts the spin magnetization at 0.0 μB/f.u. For the energy, the calculation gives -0.3237 Ry per atom. The formation energy comes out at 0.24 eV/atom.

abc: 9.324 9.324 6.399
angles: 90.00 90.00 120.00
Element x y z (fractional)
1 Y 0.000 0.000 0.000
2 Ho 0.100 0.682 0.089
3 Ho 0.318 0.418 0.089
4 Ho 0.418 0.100 0.911
5 Ho 0.582 0.900 0.089
6 Ho 0.682 0.582 0.911
7 Ho 0.900 0.318 0.911
8 Tm 0.023 0.336 0.406
9 Tm 0.313 0.977 0.406
10 Tm 0.333 0.667 0.657
11 Tm 0.336 0.313 0.594
12 Tm 0.664 0.687 0.406
13 Tm 0.667 0.333 0.343
14 Tm 0.687 0.023 0.594
15 Tm 0.977 0.664 0.594

---

Crystalline Y5Ho12Tm at its relaxed geometry. Source: the Alexandria database, functional GGA-PBE.

Summary:
The calculation puts the spin magnetization at 0.0 μB/f.u. For the energy, the calculation gives -0.3728 Ry per atom. The formation energy comes out at 0.02 eV/atom.

abc: 10.604 4.995 10.617
angles: 90.00 90.10 90.00
Element x y z (fractional)
1 Y 0.000 0.000 0.000
2 Y 0.167 0.500 0.833
3 Y 0.334 0.000 0.666
4 Y 0.666 0.000 0.334
5 Y 0.833 0.500 0.167
6 Ho 0.001 0.000 0.335
7 Ho 0.167 0.500 0.499
8 Ho 0.168 0.500 0.168
9 Ho 0.333 0.000 0.333
10 Ho 0.335 0.000 0.001
11 Ho 0.499 0.500 0.167
12 Ho 0.501 0.500 0.833
13 Ho 0.665 0.000 0.999
14 Ho 0.667 0.000 0.667
15 Ho 0.832 0.500 0.832
16 Ho 0.833 0.500 0.501
17 Ho 0.999 0.000 0.665
18 Tm 0.500 0.500 0.500

---

Crystalline Y3Ho6Tm2 at its relaxed geometry. Source: the Alexandria database, functional GGA-PBE.

Summary:
Its polymorph energy (0 for the lowest one) is 0.258 eV/atom. The calculation puts the spin magnetization at 0.0 μB/f.u. For the energy, the calculation gives -0.3520 Ry per atom. The formation energy comes out at 0.28 eV/atom.

abc: 16.772 16.772 16.772
angles: 163.87 163.87 22.88
Element x y z (fractional)
1 Y 0.000 0.000 0.000
2 Y 0.202 0.202 0.000
3 Y 0.798 0.798 0.000
4 Ho 0.120 0.620 0.500
5 Ho 0.307 0.307 0.000
6 Ho 0.380 0.880 0.500
7 Ho 0.620 0.120 0.500
8 Ho 0.693 0.693 0.000
9 Ho 0.880 0.380 0.500
10 Tm 0.454 0.454 0.000
11 Tm 0.546 0.546 0.000

---

Crystalline Y2Ho4Tm at its relaxed geometry. Source: the Alexandria database, functional GGA-PBE.

Summary:
Its polymorph energy (0 for the lowest one) is 0.000 eV/atom. The calculation puts the spin magnetization at 0.0 μB/f.u. For the energy, the calculation gives -0.3747 Ry per atom. The formation energy comes out at 0.00 eV/atom.

abc: 3.592 3.592 19.836
angles: 95.18 95.18 59.99
Element x y z (fractional)
1 Y 0.000 0.000 0.000
2 Y 0.096 0.096 0.288
3 Ho 0.285 0.285 0.856
4 Ho 0.381 0.381 0.144
5 Ho 0.810 0.810 0.433
6 Ho 0.904 0.904 0.714
7 Tm 0.190 0.190 0.574

---

Crystalline Y5Ho5Tm at its relaxed geometry. Source: the Alexandria database, functional GGA-PBE.

Summary:
The calculation puts the spin magnetization at 1.2 μB/f.u. For the energy, the calculation gives -0.3778 Ry per atom. The formation energy comes out at 0.29 eV/atom.

abc: 9.849 9.849 6.918
angles: 110.40 110.40 34.93
Element x y z (fractional)
1 Y 0.000 0.000 0.000
2 Y 0.322 0.322 0.068
3 Y 0.322 0.322 0.576
4 Y 0.678 0.678 0.424
5 Y 0.678 0.678 0.932
6 Ho 0.123 0.123 0.624
7 Ho 0.169 0.169 0.170
8 Ho 0.500 0.500 0.500
9 Ho 0.831 0.831 0.830
10 Ho 0.877 0.877 0.376
11 Tm 0.500 0.500 0.000

---

Crystalline Y2Ho2Tm15 at its relaxed geometry. Source: the Alexandria database, functional GGA-PBE.

Summary:
The calculation puts the spin magnetization at 0.0 μB/f.u. For the energy, the calculation gives -0.3243 Ry per atom. The formation energy comes out at 0.28 eV/atom.

abc: 8.614 8.614 8.614
angles: 79.76 79.76 79.76
Element x y z (fractional)
1 Y 0.176 0.176 0.176
2 Y 0.824 0.824 0.824
3 Ho 0.399 0.399 0.399
4 Ho 0.601 0.601 0.601
5 Tm 0.000 0.500 0.500
6 Tm 0.133 0.133 0.648
7 Tm 0.133 0.648 0.133
8 Tm 0.199 0.500 0.801
9 Tm 0.199 0.801 0.500
10 Tm 0.352 0.867 0.867
11 Tm 0.500 0.000 0.500
12 Tm 0.500 0.199 0.801
13 Tm 0.500 0.500 0.000
14 Tm 0.500 0.801 0.199
15 Tm 0.648 0.133 0.133
16 Tm 0.801 0.199 0.500
17 Tm 0.801 0.500 0.199
18 Tm 0.867 0.352 0.867
19 Tm 0.867 0.867 0.352

---

Crystalline Y12HoTm5 at its relaxed geometry. Source: the Alexandria database, functional GGA-PBE.

Summary:
The calculation puts the spin magnetization at 0.0 μB/f.u. For the energy, the calculation gives -0.4255 Ry per atom. The formation energy comes out at 0.02 eV/atom.

abc: 6.164 6.164 17.368
angles: 93.39 93.39 120.01
Element x y z (fractional)
1 Y 0.055 0.388 0.166
2 Y 0.111 0.111 0.334
3 Y 0.222 0.556 0.666
4 Y 0.279 0.279 0.834
5 Y 0.388 0.055 0.166
6 Y 0.444 0.778 0.334
7 Y 0.556 0.222 0.666
8 Y 0.612 0.945 0.834
9 Y 0.721 0.721 0.166
10 Y 0.778 0.444 0.334
11 Y 0.889 0.889 0.666
12 Y 0.945 0.612 0.834
13 Ho 0.000 0.000 0.000
14 Tm 0.167 0.833 0.500
15 Tm 0.333 0.667 0.000
16 Tm 0.500 0.500 0.500
17 Tm 0.667 0.333 0.000
18 Tm 0.833 0.167 0.500

---

Crystalline YHo5Tm5 at its relaxed geometry. Source: the Alexandria database, functional GGA-PBE.

Summary:
Its polymorph energy (0 for the lowest one) is 0.000 eV/atom. The calculation puts the spin magnetization at 0.0 μB/f.u. For the energy, the calculation gives -0.3345 Ry per atom. The formation energy comes out at 0.15 eV/atom.

abc: 6.736 6.921 8.218
angles: 76.21 77.02 72.94
Element x y z (fractional)
1 Y 0.000 0.000 0.000
2 Ho 0.000 0.500 0.000
3 Ho 0.160 0.628 0.358
4 Ho 0.330 0.761 0.656
5 Ho 0.670 0.239 0.344
6 Ho 0.840 0.372 0.642
7 Tm 0.202 0.136 0.323
8 Tm 0.353 0.246 0.720
9 Tm 0.500 0.500 0.000
10 Tm 0.647 0.754 0.280
11 Tm 0.798 0.864 0.677

---

Crystalline YHo7Tm4 at its relaxed geometry. Source: the Alexandria database, functional GGA-PBE.

Summary:
Its polymorph energy (0 for the lowest one) is 0.210 eV/atom. The calculation puts the spin magnetization at 0.3 μB/f.u. For the energy, the calculation gives -0.3233 Ry per atom. The formation energy comes out at 0.30 eV/atom.

abc: 6.642 6.642 12.554
angles: 115.16 115.16 51.78
Element x y z (fractional)
1 Y 0.000 0.000 0.000
2 Ho 0.058 0.058 0.326
3 Ho 0.213 0.213 0.923
4 Ho 0.365 0.365 0.497
5 Ho 0.500 0.500 0.000
6 Ho 0.635 0.635 0.503
7 Ho 0.787 0.787 0.077
8 Ho 0.942 0.942 0.674
9 Tm 0.251 0.251 0.685
10 Tm 0.366 0.366 0.226
11 Tm 0.634 0.634 0.774
12 Tm 0.749 0.749 0.315

---

Crystalline YHo6Tm8 at its relaxed geometry. Source: the Alexandria database, functional GGA-PBE.

Summary:
Its polymorph energy (0 for the lowest one) is 0.000 eV/atom. The calculation puts the spin magnetization at 0.0 μB/f.u. For the energy, the calculation gives -0.3316 Ry per atom. The formation energy comes out at 0.13 eV/atom.

abc: 8.530 8.530 8.530
angles: 63.13 63.13 63.13
Element x y z (fractional)
1 Y 0.000 0.000 0.000
2 Ho 0.114 0.221 0.540
3 Ho 0.221 0.540 0.114
4 Ho 0.460 0.886 0.779
5 Ho 0.540 0.114 0.221
6 Ho 0.779 0.460 0.886
7 Ho 0.886 0.779 0.460
8 Tm 0.109 0.741 0.722
9 Tm 0.259 0.278 0.891
10 Tm 0.278 0.891 0.259
11 Tm 0.424 0.424 0.424
12 Tm 0.576 0.576 0.576
13 Tm 0.722 0.109 0.741
14 Tm 0.741 0.722 0.109
15 Tm 0.891 0.259 0.278

---

Crystalline Y5Ho2Tm12 at its relaxed geometry. Source: the Alexandria database, functional GGA-PBE.

Summary:
The calculation puts the spin magnetization at 0.0 μB/f.u. For the energy, the calculation gives -0.3589 Ry per atom. The formation energy comes out at 0.12 eV/atom.

abc: 9.076 9.076 8.419
angles: 91.05 91.05 59.93
Element x y z (fractional)
1 Y 0.000 0.000 0.000
2 Y 0.235 0.235 0.075
3 Y 0.301 0.301 0.493
4 Y 0.699 0.699 0.507
5 Y 0.765 0.765 0.925
6 Ho 0.319 0.681 0.500
7 Ho 0.681 0.319 0.500
8 Tm 0.027 0.662 0.254
9 Tm 0.093 0.093 0.387
10 Tm 0.180 0.567 0.840
11 Tm 0.338 0.973 0.746
12 Tm 0.433 0.820 0.160
13 Tm 0.444 0.444 0.167
14 Tm 0.556 0.556 0.833
15 Tm 0.567 0.180 0.840
16 Tm 0.662 0.027 0.254
17 Tm 0.820 0.433 0.160
18 Tm 0.907 0.907 0.613
19 Tm 0.973 0.338 0.746

---

Crystalline YHo2Tm9 at its relaxed geometry. Source: the Alexandria database, functional GGA-PBE.

Summary:
Its polymorph energy (0 for the lowest one) is 0.000 eV/atom. The calculation puts the spin magnetization at 0.0 μB/f.u. For the energy, the calculation gives -0.3401 Ry per atom. The formation energy comes out at 0.03 eV/atom.

abc: 4.951 4.951 14.854
angles: 90.00 90.00 90.00
Element x y z (fractional)
1 Y 0.000 0.000 0.000
2 Ho 0.000 0.000 0.334
3 Ho 0.000 0.000 0.666
4 Tm 0.000 0.500 0.168
5 Tm 0.000 0.500 0.500
6 Tm 0.000 0.500 0.832
7 Tm 0.500 0.000 0.168
8 Tm 0.500 0.000 0.500
9 Tm 0.500 0.000 0.832
10 Tm 0.500 0.500 0.000
11 Tm 0.500 0.500 0.334
12 Tm 0.500 0.500 0.666

---

Crystalline Y4Ho9Tm11 at its relaxed geometry. Source: the Alexandria database, functional GGA-PBE.

Summary:
The calculation puts the spin magnetization at 0.0 μB/f.u. For the energy, the calculation gives -0.3515 Ry per atom. The formation energy comes out at 0.06 eV/atom.

abc: 14.564 14.564 3.496
angles: 90.00 90.00 91.69
Element x y z (fractional)
1 Y 0.053 0.222 0.000
2 Y 0.222 0.053 0.000
3 Y 0.778 0.947 0.000
4 Y 0.947 0.778 0.000
5 Ho 0.000 0.000 0.000
6 Ho 0.123 0.631 0.000
7 Ho 0.294 0.465 0.000
8 Ho 0.369 0.877 0.000
9 Ho 0.465 0.294 0.000
10 Ho 0.535 0.706 0.000
11 Ho 0.631 0.123 0.000
12 Ho 0.706 0.535 0.000
13 Ho 0.877 0.369 0.000
14 Tm 0.086 0.423 0.500
15 Tm 0.156 0.844 0.500
16 Tm 0.260 0.260 0.500
17 Tm 0.329 0.671 0.500
18 Tm 0.423 0.086 0.500
19 Tm 0.500 0.500 0.500
20 Tm 0.577 0.914 0.500
21 Tm 0.671 0.329 0.500
22 Tm 0.740 0.740 0.500
23 Tm 0.844 0.156 0.500
24 Tm 0.914 0.577 0.500

---

Crystalline Y3Ho12Tm at its relaxed geometry. Source: the Alexandria database, functional GGA-PBE.

Summary:
The calculation puts the spin magnetization at 0.0 μB/f.u. For the energy, the calculation gives -0.3603 Ry per atom. The formation energy comes out at 0.02 eV/atom.

abc: 4.995 4.995 19.968
angles: 90.00 90.00 90.00
Element x y z (fractional)
1 Y 0.000 0.000 0.000
2 Y 0.000 0.000 0.251
3 Y 0.000 0.000 0.749
4 Ho 0.000 0.500 0.126
5 Ho 0.000 0.500 0.376
6 Ho 0.000 0.500 0.624
7 Ho 0.000 0.500 0.874
8 Ho 0.500 0.000 0.126
9 Ho 0.500 0.000 0.376
10 Ho 0.500 0.000 0.624
11 Ho 0.500 0.000 0.874
12 Ho 0.500 0.500 0.000
13 Ho 0.500 0.500 0.251
14 Ho 0.500 0.500 0.500
15 Ho 0.500 0.500 0.749
16 Tm 0.000 0.000 0.500